Sr2LiPb: optimized geometry, PBEsol.

Unit cell a=5.0709 b=5.0709 c=10.0397 alpha=90.00 beta=90.00 gamma=90.00
Closest atoms and distances in Å follow each position.
Sites, in units of the cell vectors:
Sr  0.0000  0.0000  0.0000  4 Pb 3.57, 4 Sr 3.57, 4 Li 3.59
Sr  0.0000  0.5000  0.2500  4 Li 3.57, 4 Sr 3.57, 4 Pb 3.59
Sr  0.5000  0.0000  0.7500  4 Li 3.57, 4 Sr 3.57, 4 Pb 3.59
Sr  0.5000  0.5000  0.5000  4 Pb 3.57, 4 Sr 3.57, 4 Li 3.59
Li  0.0000  0.0000  0.5000  4 Pb 3.57, 8 Sr 3.57-3.59
Li  0.5000  0.5000  0.0000  4 Pb 3.57, 8 Sr 3.57-3.59
Pb  0.0000  0.5000  0.7500  4 Li 3.57, 8 Sr 3.57-3.59
Pb  0.5000  0.0000  0.2500  4 Li 3.57, 8 Sr 3.57-3.59

Summary:
Total magnetization: 0.00 μB per formula unit

---

SrLi2Pb2: optimized geometry, PBEsol.

Unit cell a=8.4854 b=8.4854 c=3.4195 alpha=90.00 beta=90.00 gamma=90.00
Closest atoms and distances in Å follow each position.
Sites, in units of the cell vectors:
Sr  0.0000  0.0000  0.0000  4 Li 3.39, 2 Sr 3.42, 8 Pb 3.57
Sr  0.5000  0.5000  0.0000  4 Li 3.39, 2 Sr 3.42, 8 Pb 3.57
Li  0.1176  0.3824  0.0000  1 Li 2.82, 6 Pb 3.03-3.04
Li  0.3824  0.8824  0.0000  1 Li 2.82, 6 Pb 3.03-3.04
Li  0.6176  0.1176  0.0000  1 Li 2.82, 6 Pb 3.03-3.04
Li  0.8824  0.6176  0.0000  1 Li 2.82, 6 Pb 3.03-3.04
Pb  0.1737  0.6737  0.5000  6 Li 3.03-3.04
Pb  0.3263  0.1737  0.5000  6 Li 3.03-3.04
Pb  0.6737  0.8263  0.5000  6 Li 3.03-3.04
Pb  0.8263  0.3263  0.5000  6 Li 3.03-3.04

Summary:
Total magnetization: 0.00 μB per formula unit

---

For each record above, in turn, the calculated D(E_F) values are 0.73 0.37 states/eV/atom.
For each record above, in turn, the calculated calculated formation energy values are -0.234 -0.385 eV per atom.